Record 1
VASP calculation (PBE) on an optimized crystal structure of Ta2BeIrRh.

It has space group P4/mmm (No. 123), with a = 4.325 Å, b = 4.325 Å, c = 4.079 Å, α = 90.00°, β = 90.00° and γ = 90.00°. The distinct sites, in fractional coordinates, are Ta at (0.000, 0.500, 0.000), Be at (0.000, 0.000, 0.000), Ir at (0.000, 0.000, 0.500) and Rh at (0.500, 0.500, 0.500).

The energy of formation from the pure elements comes out at 0.173 eV/atom.


Record 2
VASP calculation (PBE) on an optimized crystal structure of PmHo2Au.

It has space group R3m (No. 160, hexagonal axes), with a = 3.7580 Å, b = 3.7580 Å, c = 29.4326 Å, α = 90.00°, β = 90.00° and γ = 120.00°. The distinct sites, in fractional coordinates, are Pm at (0.0000, 0.0000, 0.0000), Ho at (0.0000, 0.0000, 0.2356), Ho at (0.0000, 0.0000, 0.4334) and Au at (0.0000, 0.0000, 0.8352).

For the energy relative to the lowest polymorph listed for this composition, the calculation gives 54 kJ/mol of formula units. The energy of formation from the pure elements comes out at -0.294 eV/atom.


Record 3
VASP calculation (PBE) on an optimized crystal structure of MnHgSeN2.

It has space group P4/mmm (No. 123), with a = 4.134 Å, b = 4.134 Å, c = 6.094 Å, α = 90.00°, β = 90.00° and γ = 90.00°. The distinct sites, in fractional coordinates, are Mn at (0.000, 0.000, 0.000), Hg at (0.500, 0.500, 0.500), Se at (0.500, 0.500, 0.000) and N at (0.000, 0.500, 0.500).

For the energy relative to the lowest polymorph listed for this composition, the calculation gives 569 kJ/mol of formula units. The formation energy without anion corrections is 1827 meV per atom.


Record 4
VASP calculation (PBE) on an optimized crystal structure of Er2MnRe3.

It has space group R-3m (No. 166, hexagonal axes), with a = 5.2900 Å, b = 5.2900 Å, c = 13.5140 Å, α = 90.00°, β = 90.00° and γ = 120.00°. The distinct sites, in fractional coordinates, are Er at (0.0000, 0.0000, 0.1241), Mn at (0.0000, 0.0000, 0.5000) and Re at (0.0000, 0.5000, 0.0000).

The energy of formation from the pure elements comes out at -0.198 eV/atom.